# LiAlCu2Si

LiAlCu2Si after structural relaxation (GGA-PBE, Alexandria).

Cell lengths 4.4342, 4.4342, 4.9394 Å; angles 90.00, 90.00, 90.00 degrees
Closest atoms and distances in Å follow each position.
Sites, in units of the cell vectors:
Li (0.0000, 0.0000, 0.0000)  4 Al 3.14, 8 Cu 3.32
Al (0.5000, 0.5000, 0.0000)  2 Si 2.47
Cu (0.0000, 0.5000, 0.5000)  2 Si 2.22
Cu (0.5000, 0.0000, 0.5000)  2 Si 2.22
Si (0.5000, 0.5000, 0.5000)  4 Cu 2.22, 2 Al 2.47

Properties
- N(E_F) (states/eV/cell) = 1.384
- electronic total energy (eV for the cell shown) = -17.6
- symmetry = No. 123



# Li3Sm2AlCu12

Li3Sm2AlCu12 after structural relaxation (GGA-PBE, Alexandria).

Cell lengths 6.5037, 6.5037, 6.5037 Å; angles 83.51, 83.51, 83.51 degrees
Closest atoms and distances in Å follow each position.
Sites, in units of the cell vectors:
Li (0.0000, 0.5000, 0.5000)  10 Cu 2.65-2.85, 2 Sm 2.86
Li (0.5000, 0.0000, 0.5000)  10 Cu 2.65-2.85, 2 Sm 2.86
Li (0.5000, 0.5000, 0.0000)  10 Cu 2.65-2.85, 2 Sm 2.86
Sm (0.2225, 0.2225, 0.2225)  9 Cu 2.85-2.96, 3 Li 2.86
Sm (0.7775, 0.7775, 0.7775)  9 Cu 2.85-2.96, 3 Li 2.86
Al (0.5000, 0.5000, 0.5000)  6 Cu 2.40
Cu (0.0720, 0.0721, 0.6527)  6 Cu 2.42-2.69
Cu (0.0720, 0.6527, 0.0720)  6 Cu 2.42-2.69
Cu (0.2352, 0.7008, 0.7008)  1 Al 2.40, 5 Cu 2.42-2.59, 1 Li 2.65
Cu (0.2992, 0.2992, 0.7648)  1 Al 2.40, 5 Cu 2.42-2.59, 1 Li 2.65
Cu (0.2992, 0.7648, 0.2992)  1 Al 2.40, 5 Cu 2.42-2.59, 1 Li 2.65
Cu (0.3473, 0.9279, 0.9280)  6 Cu 2.42-2.69
Cu (0.6527, 0.0720, 0.0720)  6 Cu 2.42-2.69
Cu (0.7008, 0.2352, 0.7008)  1 Al 2.40, 5 Cu 2.42-2.59, 1 Li 2.65
Cu (0.7008, 0.7008, 0.2352)  1 Al 2.40, 5 Cu 2.42-2.59, 1 Li 2.65
Cu (0.7648, 0.2992, 0.2992)  1 Al 2.40, 5 Cu 2.42-2.59, 1 Li 2.65
Cu (0.9280, 0.3473, 0.9280)  6 Cu 2.42-2.69
Cu (0.9280, 0.9280, 0.3473)  6 Cu 2.42-2.69

Properties
- ΔH_f (0 K) (eV/atom) = 0.01
- N(E_F) (states/eV/cell) = 10.068
- symmetry = No. 166



# Li2Sm2Al5Cu

Li2Sm2Al5Cu after structural relaxation (GGA-PBE, Alexandria).

Cell lengths 9.4036, 9.4036, 4.1681 Å; angles 90.00, 90.00, 90.00 degrees
Closest atoms and distances in Å follow each position.
Sites, in units of the cell vectors:
Li (0.1108, 0.3892, 0.0000)  6 Al 2.55-2.81, 1 Sm 2.71
Li (0.3892, 0.8892, 0.0000)  6 Al 2.55-2.81, 1 Sm 2.71
Li (0.6108, 0.1108, 0.0000)  6 Al 2.55-2.81, 1 Sm 2.71
Li (0.8892, 0.6108, 0.0000)  6 Al 2.55-2.81, 1 Sm 2.71
Sm (0.1852, 0.6852, 0.0000)  3 Li 2.71-2.87
Sm (0.3148, 0.1852, 0.0000)  3 Li 2.71-2.87
Sm (0.6852, 0.8148, 0.0000)  3 Li 2.71-2.87
Sm (0.8148, 0.3148, 0.0000)  3 Li 2.71-2.87
Al (0.0000, 0.5000, 0.5000)  4 Li 2.55
Al (0.0511, 0.1980, 0.5000)  3 Al 2.72-2.88, 2 Li 2.81, 2 Cu 2.84
Al (0.1980, 0.9489, 0.5000)  3 Al 2.72-2.88, 2 Li 2.81, 2 Cu 2.84
Al (0.3020, 0.4489, 0.5000)  3 Al 2.72-2.88, 2 Li 2.81, 2 Cu 2.84
Al (0.4489, 0.6980, 0.5000)  3 Al 2.72-2.88, 2 Li 2.81, 2 Cu 2.84
Al (0.5000, 0.0000, 0.5000)  4 Li 2.55
Al (0.5511, 0.3020, 0.5000)  3 Al 2.72-2.88, 2 Li 2.81, 2 Cu 2.84
Al (0.6980, 0.5511, 0.5000)  3 Al 2.72-2.88, 2 Li 2.81, 2 Cu 2.84
Al (0.8020, 0.0511, 0.5000)  3 Al 2.72-2.88, 2 Li 2.81, 2 Cu 2.84
Al (0.9489, 0.8020, 0.5000)  3 Al 2.72-2.88, 2 Li 2.81, 2 Cu 2.84
Cu (0.0000, 0.0000, 0.0000)  8 Al 2.84
Cu (0.5000, 0.5000, 0.0000)  8 Al 2.84

Properties
- ΔH_f (0 K) (eV/atom) = -0.25
- N(E_F) (states/eV/cell) = 8.207
- symmetry = No. 127



# LiSmAl3Cu

LiSmAl3Cu after structural relaxation (GGA-PBE, Alexandria).

Cell lengths 7.0417, 7.0417, 5.9810 Å; angles 90.00, 90.00, 129.72 degrees
Closest atoms and distances in Å follow each position.
Sites, in units of the cell vectors:
Li (0.1494, 0.8506, 0.7500)  5 Al 2.74-2.76
Li (0.8506, 0.1494, 0.2500)  5 Al 2.74-2.76
Sm (0.2082, 0.7918, 0.2500)  1 Cu 2.75, 2 Li 3.08
Sm (0.7918, 0.2082, 0.7500)  1 Cu 2.75, 2 Li 3.08
Al (0.2160, 0.2160, 0.0000)  2 Cu 2.46, 1 Al 2.58, 2 Li 2.74
Al (0.2160, 0.2160, 0.5000)  2 Cu 2.46, 1 Al 2.58, 2 Li 2.74
Al (0.3657, 0.6343, 0.7500)  1 Cu 2.68, 1 Li 2.76, 4 Al 2.84
Al (0.6343, 0.3657, 0.2500)  1 Cu 2.68, 1 Li 2.76, 4 Al 2.84
Al (0.7840, 0.7840, 0.0000)  2 Cu 2.46, 1 Al 2.58, 2 Li 2.74
Al (0.7840, 0.7840, 0.5000)  2 Cu 2.46, 1 Al 2.58, 2 Li 2.74
Cu (0.4242, 0.5758, 0.2500)  5 Al 2.46-2.68, 1 Sm 2.75
Cu (0.5758, 0.4242, 0.7500)  5 Al 2.46-2.68, 1 Sm 2.75

Properties
- ΔH_f (0 K) (eV/atom) = -0.15
- N(E_F) (states/eV/cell) = 5.235
- symmetry = No. 63



# LiSmAlCu

LiSmAlCu after structural relaxation (GGA-PBE, Alexandria).

Cell lengths 4.6777, 4.6777, 4.6777 Å; angles 60.00, 60.00, 60.00 degrees
Closest atoms and distances in Å follow each position.
Sites, in units of the cell vectors:
Li (0.0000, 0.0000, 0.0000)  4 Al 2.86, 4 Sm 2.86
Sm (0.2500, 0.2500, 0.2500)  4 Li 2.86, 4 Cu 2.86
Al (0.7500, 0.7500, 0.7500)  4 Li 2.86, 4 Cu 2.86
Cu (0.5000, 0.5000, 0.5000)  4 Al 2.86, 4 Sm 2.86

Properties
- ΔH_f (0 K) (eV/atom) = -0.30
- N(E_F) (states/eV/cell) = 0.713
- symmetry = No. 216



# LiSm2Al3Cu12

LiSm2Al3Cu12 after structural relaxation (GGA-PBE, Alexandria).

Cell lengths 9.8636, 9.8636, 9.8636 Å; angles 36.00, 36.00, 36.00 degrees
Closest atoms and distances in Å follow each position.
Sites, in units of the cell vectors:
Li (0.0000, 0.0000, 0.0000)  6 Cu 2.42
Sm (0.3497, 0.3497, 0.3497)  12 Cu 3.07-3.38
Sm (0.6503, 0.6503, 0.6503)  12 Cu 3.07-3.38
Al (0.0000, 0.0000, 0.5000)  4 Cu 2.43
Al (0.0000, 0.5000, 0.0000)  4 Cu 2.43
Al (0.5000, 0.0000, 0.0000)  4 Cu 2.43
Cu (0.0732, 0.0732, 0.6475)  1 Li 2.42, 4 Cu 2.44-2.60
Cu (0.0732, 0.6475, 0.0732)  1 Li 2.42, 4 Cu 2.44-2.60
Cu (0.1842, 0.5807, 0.5807)  4 Cu 2.42-2.44, 2 Al 2.43
Cu (0.3525, 0.9268, 0.9268)  1 Li 2.42, 4 Cu 2.44-2.60
Cu (0.4193, 0.4193, 0.8158)  4 Cu 2.42-2.44, 2 Al 2.43
Cu (0.4193, 0.8158, 0.4193)  4 Cu 2.42-2.44, 2 Al 2.43
Cu (0.5807, 0.1842, 0.5807)  4 Cu 2.42-2.44, 2 Al 2.43
Cu (0.5807, 0.5807, 0.1842)  4 Cu 2.42-2.44, 2 Al 2.43
Cu (0.6475, 0.0732, 0.0732)  1 Li 2.42, 4 Cu 2.44-2.60
Cu (0.8158, 0.4193, 0.4193)  4 Cu 2.42-2.44, 2 Al 2.43
Cu (0.9268, 0.3525, 0.9268)  1 Li 2.42, 4 Cu 2.44-2.60
Cu (0.9268, 0.9268, 0.3525)  1 Li 2.42, 4 Cu 2.44-2.60

Properties
- ΔH_f (0 K) (eV/atom) = 0.11
- N(E_F) (states/eV/cell) = 6.746
- symmetry = No. 166